Below is crystalline K2Sc2CrO6 at its relaxed geometry, with properties calculated at the PBE+U level.

It has space group C2/m (No. 12), with a = 5.458 Å, b = 9.259 Å, c = 6.525 Å, α = 90.00°, β = 106.15° and γ = 90.00°. The distinct sites, in fractional coordinates, are K at (0.000, 0.168, 0.000), Sc at (0.000, 0.336, 0.500), Cr at (0.000, 0.000, 0.500), O at (0.208, 0.156, 0.666) and O at (0.239, 0.500, 0.670).

As for the total energy: -158.53 eV for the cell shown. Its calculated volume is 158 Å³/f.u.